[1]
First-principles (GGA-PBE) data for an optimized crystal structure of GeMoAs, as listed in OQMD.

Its calculated volume is 19.33 A^3/atom. As for the excess energy over the best structure of this formula in the dataset: 450 meV/atom. For the size of the total moment, the calculation gives 4.21 Bohr magnetons per cell. The value obtained for the total energy is -6.318 eV/atom.

The space group is F-43m (No. 216) and the conventional cell measures 6.144, 6.144 and 6.144 Å, with angles of 90.00, 90.00 and 90.00 degrees. The distinct sites, in fractional coordinates, are Ge at (0.000, 0.000, 0.000), Mo at (0.250, 0.250, 0.750) and As at (0.000, 0.000, 0.500).


[2]
First-principles (GGA-PBE) data for an optimized crystal structure of GeMo4AsN2, as listed in OQMD.

Its calculated volume is 12.99 A^3/atom. For the size of the total moment, the calculation gives 0.00 Bohr magnetons per cell. The value obtained for the total energy is -8.685 eV/atom.

The space group is P-6m2 (No. 187) and the conventional cell measures 3.0103, 3.0103 and 13.2449 Å, with angles of 90.00, 90.00 and 120.00 degrees. The distinct sites, in fractional coordinates, are Ge at (0.0000, 0.0000, 0.0000), Mo at (0.0000, 0.0000, 0.3497), Mo at (0.3333, 0.6667, 0.1551), As at (0.3333, 0.6667, 0.5000) and N at (0.6667, 0.3333, 0.2512).


[3]
First-principles (GGA-PBE) data for an optimized crystal structure of GeAsW4N2, as listed in OQMD.

Its calculated volume is 12.99 A^3/atom. For the size of the total moment, the calculation gives 0.00 Bohr magnetons per cell. The value obtained for the total energy is -9.430 eV/atom.

The space group is P-6m2 (No. 187) and the conventional cell measures 2.9447, 2.9447 and 13.8387 Å, with angles of 90.00, 90.00 and 120.00 degrees. The distinct sites, in fractional coordinates, are Ge at (0.0000, 0.0000, 0.0000), As at (0.6667, 0.3333, 0.5000), W at (0.0000, 0.0000, 0.3535), W at (0.6667, 0.3333, 0.1517) and N at (0.3333, 0.6667, 0.2514).


[4]
First-principles (GGA-PBE) data for an optimized crystal structure of Zn2Ge2As3N, as listed in OQMD.

Its calculated volume is 19.76 A^3/atom. The value obtained for the total energy is -4.319 eV/atom.

The space group is C2 (No. 5) and the conventional cell measures 11.755, 5.518 and 5.420 Å, with angles of 90.00, 115.96 and 90.00 degrees. The distinct sites, in fractional coordinates, are Zn at (0.108, 0.000, 0.316), Ge at (0.114, 0.422, 0.898), As at (0.000, 0.695, 0.500), As at (0.249, 0.704, 0.257) and N at (0.000, 0.233, 0.000).


[5]
First-principles (GGA-PBE) data for an optimized crystal structure of Zn2Ge2AsN3, as listed in OQMD.

Its calculated volume is 13.91 A^3/atom. The value obtained for the total energy is -5.160 eV/atom.

The space group is C2 (No. 5) and the conventional cell measures 10.345, 4.847 and 4.973 Å, with angles of 90.00, 116.79 and 90.00 degrees. The distinct sites, in fractional coordinates, are Zn at (0.143, 0.000, 0.354), Ge at (0.135, 0.564, 0.911), As at (0.000, 0.282, 0.500), N at (0.000, 0.762, 0.000) and N at (0.250, 0.295, 0.212).


[6]
First-principles (GGA-PBE) data for an optimized crystal structure of NbGeAs, as listed in OQMD.

Its calculated volume is 20.13 A^3/atom. As for the excess energy over the best structure of this formula in the dataset: 89 meV/atom. For the size of the total moment, the calculation gives 0.02 Bohr magnetons per cell. The value obtained for the total energy is -6.132 eV/atom.

The space group is F-43m (No. 216) and the conventional cell measures 6.228, 6.228 and 6.228 Å, with angles of 90.00, 90.00 and 90.00 degrees. The distinct sites, in fractional coordinates, are Nb at (0.000, 0.000, 0.000), Ge at (0.000, 0.000, 0.500) and As at (0.250, 0.250, 0.750).


[7]
First-principles (GGA-PBE) data for an optimized crystal structure of NbGeAs, as listed in OQMD.

Its calculated volume is 20.75 A^3/atom. As for the excess energy over the best structure of this formula in the dataset: 0 meV/atom. For the size of the total moment, the calculation gives 0.01 Bohr magnetons per cell. The value obtained for the total energy is -6.221 eV/atom.

The space group is F-43m (No. 216) and the conventional cell measures 6.291, 6.291 and 6.291 Å, with angles of 90.00, 90.00 and 90.00 degrees. The distinct sites, in fractional coordinates, are Nb at (0.000, 0.000, 0.000), Ge at (0.250, 0.250, 0.250) and As at (0.250, 0.250, 0.750).


[8]
First-principles (GGA-PBE) data for an optimized crystal structure of Nb2Ge2As, as listed in OQMD.

Its calculated volume is 17.57 A^3/atom. For the size of the total moment, the calculation gives 0.00 Bohr magnetons per cell. The value obtained for the total energy is -7.028 eV/atom.

The space group is I4/mmm (No. 139) and the conventional cell measures 3.546, 3.546 and 13.973 Å, with angles of 90.00, 90.00 and 90.00 degrees. The distinct sites, in fractional coordinates, are Nb at (0.000, 0.000, 0.101), Ge at (0.000, 0.500, 0.250) and As at (0.000, 0.000, 0.500).


[9]
First-principles (GGA-PBE) data for an optimized crystal structure of NbGeAsO, as listed in OQMD.

Its calculated volume is 17.09 A^3/atom. As for the excess energy over the best structure of this formula in the dataset: 147 meV/atom. For the size of the total moment, the calculation gives 0.01 Bohr magnetons per cell. The value obtained for the total energy is -6.629 eV/atom.

The space group is Pmc2_1 (No. 26) and the conventional cell measures 3.578, 5.641 and 6.774 Å, with angles of 90.00, 90.00 and 90.00 degrees. The distinct sites, in fractional coordinates, are Nb at (0.000, 0.225, 0.000), Ge at (0.500, 0.113, 0.587), As at (0.000, 0.311, 0.374) and O at (0.500, 0.257, 0.836).


[10]
First-principles (GGA-PBE) data for an optimized crystal structure of NbGeAsO, as listed in OQMD.

Its calculated volume is 15.97 A^3/atom. As for the excess energy over the best structure of this formula in the dataset: 0 meV/atom. For the size of the total moment, the calculation gives 1.38 Bohr magnetons per cell. The value obtained for the total energy is -6.777 eV/atom.

The space group is P4/nmm (No. 129, origin choice 2) and the conventional cell measures 3.534, 3.534 and 10.228 Å, with angles of 90.00, 90.00 and 90.00 degrees. The distinct sites, in fractional coordinates, are Nb at (0.250, 0.250, 0.122), Ge at (0.250, 0.750, 0.500), As at (0.250, 0.250, 0.747) and O at (0.250, 0.750, 0.000).


[11]
First-principles (GGA-PBE) data for an optimized crystal structure of NbGeAsO, as listed in OQMD.

Its calculated volume is 18.02 A^3/atom. As for the excess energy over the best structure of this formula in the dataset: 313 meV/atom. For the size of the total moment, the calculation gives 0.29 Bohr magnetons per cell. The value obtained for the total energy is -6.463 eV/atom.

The space group is P4/nmm (No. 129, origin choice 2) and the conventional cell measures 3.996, 3.996 and 9.027 Å, with angles of 90.00, 90.00 and 90.00 degrees. The distinct sites, in fractional coordinates, are Nb at (0.250, 0.750, 0.000), Ge at (0.250, 0.250, 0.403), As at (0.250, 0.250, 0.812) and O at (0.250, 0.750, 0.500).


[12]
First-principles (GGA-PBE) data for an optimized crystal structure of NbGeAsO, as listed in OQMD.

Its calculated volume is 16.26 A^3/atom. As for the excess energy over the best structure of this formula in the dataset: 59 meV/atom. For the size of the total moment, the calculation gives 0.01 Bohr magnetons per cell. The value obtained for the total energy is -6.718 eV/atom.

The space group is Pmc2_1 (No. 26) and the conventional cell measures 3.210, 5.826 and 6.954 Å, with angles of 90.00, 90.00 and 90.00 degrees. The distinct sites, in fractional coordinates, are Nb at (0.000, 0.046, 0.000), Ge at (0.500, 0.378, 0.869), As at (0.500, 0.211, 0.284) and O at (0.000, 0.228, 0.697).


[13]
First-principles (GGA-PBE) data for an optimized crystal structure of Nd2GeAs2, as listed in OQMD.

Its calculated volume is 25.48 A^3/atom. For the size of the total moment, the calculation gives 0.01 Bohr magnetons per cell. The value obtained for the total energy is -5.647 eV/atom.

The space group is P2_1/c (No. 14) and the conventional cell measures 8.191, 8.578 and 7.831 Å, with angles of 90.00, 112.13 and 90.00 degrees. The distinct sites, in fractional coordinates, are Nd at (0.000, 0.136, 0.235), Nd at (0.455, 0.656, 0.129), Ge at (0.335, 0.048, 0.961), As at (0.235, 0.617, 0.718) and As at (0.243, 0.142, 0.626).